Cs2NaFeF6 (GGA+U, optimized geometry); E_tot = -47.3 eV/f.u.; magnetization = 4.956 μB per formula unit; space-group type = Fm-3m, No. 225
1.0
0.000 4.432 4.432
4.432 0.000 4.432
4.432 4.432 0.000
Cs Na Fe F
2 1 1 6
Direct
0.250 0.250 0.250
0.750 0.750 0.750
0.000 0.000 0.000
0.500 0.500 0.500
0.276 0.276 0.724
0.276 0.724 0.276
0.276 0.724 0.724
0.724 0.276 0.276
0.724 0.276 0.724
0.724 0.724 0.276